Entry 1:
Cu2AuBr: optimized geometry, GGA-PBE.

## Properties
For the formation energy (no corrections), the calculation gives 1.2 eV per formula unit. The value obtained for the excess energy over the best structure of this formula in the dataset is 278 meV per atom. As for the volume: 178.0 Å³ per cell. The density of states at the Fermi level comes out at 0.92 states/eV per cell.

Lattice parameters (Å, degrees): 3.614 6.995 7.041 90.00 90.00 90.00
Space group Immm (No. 71)
Unique sites:
Cu: 0.000 0.249 0.000 [4 per cell]
Au: 0.000 0.500 0.500 [2 per cell]
Br: 0.000 0.000 0.500 [2 per cell]

---

Entry 2:
NdCuNiAg: optimized geometry, GGA-PBE.

## Properties
As for the volume: 294.9 Å³ per cell. The density of states at the Fermi level comes out at 14.67 states/eV per cell. For the energy of formation, the calculation gives -0.216 eV per formula unit.

Lattice parameters (Å, degrees): 6.656 6.656 6.656 90.00 90.00 90.00
Space group F-43m (No. 216)
Unique sites:
Nd: 0.000 0.000 0.000 [4 per cell]
Cu: 0.250 0.250 0.250 [4 per cell]
Ni: 0.250 0.250 0.750 [4 per cell]
Ag: 0.000 0.000 0.500 [4 per cell]

---

Entry 3:
Nb4Re2Ru: optimized geometry, GGA-PBE.

## Properties
As for the volume: 252.5 Å³ per cell. The density of states at the Fermi level comes out at 6.97 states/eV per cell. For the energy of formation, the calculation gives 0.105 eV per formula unit.

Lattice parameters (Å, degrees): 6.308 6.308 6.347 90.00 90.00 90.00
Space group I4/mmm (No. 139)
Unique sites:
Nb: 0.250 0.250 0.250 [8 per cell]
Re: 0.000 0.500 0.000 [4 per cell]
Ru: 0.000 0.000 0.000 [2 per cell]